1.
This record from Alexandria describes a relaxed La6Os2Pd crystal. The functional is PBE.

The value obtained for the formation energy is -0.280 eV/atom. Its density is 7.22 g/cm³.

Cell and atoms, written as CIF:
```
data_La6Os2Pd
_symmetry_space_group_name_H-M 'P 1'
_symmetry_Int_Tables_number 1
_cell_length_a 6.7453
_cell_length_b 7.2090
_cell_length_c 7.2090
_cell_angle_alpha 120.00
_cell_angle_beta 90.00
_cell_angle_gamma 90.00
loop_
_symmetry_equiv_pos_as_xyz
'x,y,z'
loop_
_atom_site_label
_atom_site_fract_x
_atom_site_fract_y
_atom_site_fract_z
_atom_site_occupancy
La1 0.2665 0.3412 0.3412 1
Os1 0.5000 0.3333 0.6667 1
La2 0.7335 0.0000 0.3412 1
La3 0.7335 0.3412 0.0000 1
La4 0.7335 0.6588 0.6588 1
Pd1 0.0000 0.0000 0.0000 1
La5 0.2665 0.6588 0.0000 1
La6 0.2665 0.0000 0.6588 1
Os2 0.5000 0.6667 0.3333 1
```

---

2.
This record from Alexandria describes a relaxed LiH4PdRh2 crystal. The functional is PBE.

As for the total energy: -4.57 eV/atom. Its density is 8.23 g/cm³.

Cell and atoms, written as CIF:
```
data_LiH4PdRh2
_symmetry_space_group_name_H-M 'P 1'
_symmetry_Int_Tables_number 1
_cell_length_a 2.8865
_cell_length_b 5.5045
_cell_length_c 8.5052
_cell_angle_alpha 90.00
_cell_angle_beta 90.00
_cell_angle_gamma 105.20
loop_
_symmetry_equiv_pos_as_xyz
'x,y,z'
loop_
_atom_site_label
_atom_site_fract_x
_atom_site_fract_y
_atom_site_fract_z
_atom_site_occupancy
H1 0.0000 0.0000 0.0000 1
Rh1 0.3697 0.7394 0.0176 1
Li1 0.7561 0.5121 0.2500 1
Rh2 0.6303 0.2606 0.5176 1
Pd1 0.0181 0.0362 0.2500 1
H2 0.7950 0.5900 0.5844 1
H3 0.5989 0.1979 0.7500 1
Rh3 0.3697 0.7394 0.4824 1
H4 0.0000 0.0000 0.5000 1
H5 0.2050 0.4100 0.0844 1
H6 0.7950 0.5900 0.9156 1
H7 0.2050 0.4100 0.4156 1
Pd2 0.9819 0.9638 0.7500 1
H8 0.4011 0.8021 0.2500 1
Li2 0.2439 0.4879 0.7500 1
Rh4 0.6303 0.2606 0.9824 1
```

---

3.
This record from Alexandria describes a relaxed TiRu3O crystal. The functional is PBE.

For the formation energy without anion corrections, the calculation gives -0.1030 eV per atom. Its density is 9.16 g/cm³.

Cell and atoms, written as CIF:
```
data_TiRu3O
_symmetry_space_group_name_H-M 'P 1'
_symmetry_Int_Tables_number 1
_cell_length_a 4.0525
_cell_length_b 4.0525
_cell_length_c 4.0525
_cell_angle_alpha 90.00
_cell_angle_beta 90.00
_cell_angle_gamma 90.00
loop_
_symmetry_equiv_pos_as_xyz
'x,y,z'
loop_
_atom_site_label
_atom_site_fract_x
_atom_site_fract_y
_atom_site_fract_z
_atom_site_occupancy
Ru1 0.5000 0.0000 0.0000 1
Ru2 0.0000 0.5000 0.0000 1
Ti1 0.5000 0.5000 0.5000 1
O1 0.0000 0.0000 0.0000 1
Ru3 0.0000 0.0000 0.5000 1
```